{
  "formula": "BaSbTe2S6",
  "functional": "PBE",
  "state": "optimized geometry",
  "lattice": [[7.0812, 0.3360, 0.1905], [-3.2539, 5.8570, -0.0858], [-3.4537, -2.1616, 6.8674]],
  "species": ["Ba", "Sb", "Te", "Te", "S", "S", "S", "S", "S", "S"],
  "frac_coords": [[0.0403, 0.5132, 0.5331], [0.9604, 0.9832, 0.9186], [0.5782, 0.7926, 0.3247], [0.6295, 0.3125, 0.9187], [0.5662, 0.9719, 0.7154], [0.5195, 0.0920, 0.2052], [0.8006, 0.7223, 0.1958], [0.0790, 0.4491, 0.1231], [0.6918, 0.5527, 0.6921], [0.1000, 0.0881, 0.6757]],
  "e_form_raw_ev_per_atom": -0.415,
  "e_tot_ev_per_atom": -4.125,
  "magnetic_moment_mub_per_fu": 0.0
}


{
  "formula": "Ba2Tl3SbS6",
  "functional": "PBE",
  "state": "optimized geometry",
  "lattice": [[7.6407, 0.0377, 0.0311], [-3.7858, 6.6370, 0.0311], [-1.2606, -2.1827, 7.1792]],
  "species": ["Ba", "Ba", "Tl", "Tl", "Tl", "Sb", "S", "S", "S", "S", "S", "S"],
  "frac_coords": [[0.3335, 0.6665, 0.0000], [0.6665, 0.3335, 0.0000], [0.1611, 0.8389, 0.5000], [0.8389, 0.1611, 0.5000], [0.5000, 0.5000, 0.5000], [0.0000, 0.0000, 0.0000], [0.9307, 0.6592, 0.7985], [0.7957, 0.7957, 0.2226], [0.0693, 0.3408, 0.2015], [0.6592, 0.9307, 0.7985], [0.2043, 0.2043, 0.7774], [0.3408, 0.0693, 0.2015]],
  "e_form_raw_ev_per_atom": -0.838,
  "e_tot_ev_per_atom": -4.158,
  "magnetic_moment_mub_per_fu": 0.0
}


{
  "formula": "BaTl2SbS4",
  "functional": "PBE",
  "state": "optimized geometry",
  "lattice": [[8.6085, -0.0019, -0.2484], [-0.0080, 8.6085, -0.2484], [-4.4284, -4.4315, 6.3331]],
  "species": ["Ba", "Ba", "Tl", "Tl", "Tl", "Tl", "Sb", "Sb", "S", "S", "S", "S", "S", "S", "S", "S"],
  "frac_coords": [[0.0000, 0.5000, 0.0000], [0.0000, 0.5000, 0.5000], [0.5000, 0.0000, 0.0000], [0.5000, 0.0000, 0.5000], [0.0000, 0.0000, 0.5000], [0.5000, 0.5000, 0.0000], [0.5000, 0.5000, 0.5000], [0.0000, 0.0000, 0.0000], [0.2413, 0.7800, 0.0107], [0.7199, 0.2587, 0.4893], [0.2801, 0.7412, 0.5107], [0.7588, 0.2199, 0.9893], [0.7463, 0.7538, 0.9650], [0.7462, 0.7537, 0.5350], [0.2538, 0.2463, 0.4651], [0.2537, 0.2462, 0.0349]],
  "e_form_raw_ev_per_atom": -0.663,
  "e_tot_ev_per_atom": -4.074,
  "magnetic_moment_mub_per_fu": 0.0
}


{
  "formula": "Ba2TmSbS6",
  "functional": "PBE",
  "state": "optimized geometry",
  "lattice": [[-3.9916, 4.7500, -3.5531], [2.5579, -2.5452, -6.2762], [-7.6279, -6.7393, -0.3758]],
  "species": ["Ba", "Ba", "Ba", "Ba", "Tm", "Tm", "Sb", "Sb", "S", "S", "S", "S", "S", "S", "S", "S", "S", "S", "S", "S"],
  "frac_coords": [[0.0143, 0.9388, 0.2493], [0.5143, 0.5612, 0.7493], [0.9857, 0.0612, 0.7507], [0.4857, 0.4388, 0.2507], [0.5000, 0.0000, 0.0000], [0.0000, 0.5000, 0.5000], [0.5000, 0.0000, 0.5000], [0.0000, 0.5000, 0.0000], [0.2868, 0.6992, 0.0429], [0.7868, 0.8008, 0.5429], [0.7132, 0.3008, 0.9571], [0.2132, 0.1992, 0.4571], [0.3026, 0.7104, 0.4627], [0.8026, 0.7896, 0.9627], [0.6974, 0.2896, 0.5373], [0.1974, 0.2104, 0.0373], [0.9234, 0.5012, 0.2437], [0.4234, 0.9988, 0.7437], [0.0766, 0.4988, 0.7563], [0.5766, 0.0012, 0.2563]],
  "e_form_raw_ev_per_atom": -1.369,
  "e_tot_ev_per_atom": -5.089,
  "magnetic_moment_mub_per_fu": 0.0
}


{
  "formula": "Ba2VSbS",
  "functional": "PBE",
  "state": "optimized geometry",
  "lattice": [[-5.3561, -2.5681, -0.9582], [0.6570, -2.9883, 4.3370], [-2.6379, 4.2580, 3.3335]],
  "species": ["Sb", "S", "Ba", "Ba", "V"],
  "frac_coords": [[0.0000, 0.5000, 0.0000], [0.0000, 0.0000, 0.0000], [0.0000, 0.0000, 0.5000], [0.5000, 0.0000, 0.0000], [0.5000, 0.5000, 0.5000]],
  "e_form_raw_ev_per_atom": 0.196,
  "e_tot_ev_per_atom": -4.047,
  "magnetic_moment_mub_per_fu": 1.0
}


{
  "formula": "Ba2YSbS6",
  "functional": "PBE",
  "state": "optimized geometry",
  "lattice": [[-2.8119, 0.8535, 6.5405], [-6.2217, -3.0541, -2.2763], [3.5466, -9.2188, 2.6752]],
  "species": ["Ba", "Ba", "Ba", "Ba", "Y", "Y", "Sb", "Sb", "S", "S", "S", "S", "S", "S", "S", "S", "S", "S", "S", "S"],
  "frac_coords": [[0.0153, 0.9370, 0.2489], [0.5153, 0.5630, 0.7489], [0.9847, 0.0630, 0.7511], [0.4847, 0.4370, 0.2511], [0.5000, 0.0000, 0.0000], [0.0000, 0.5000, 0.5000], [0.5000, 0.0000, 0.5000], [0.0000, 0.5000, 0.0000], [0.2863, 0.6960, 0.0441], [0.7863, 0.8040, 0.5441], [0.7137, 0.3040, 0.9559], [0.2137, 0.1960, 0.4559], [0.3061, 0.7115, 0.4608], [0.8061, 0.7885, 0.9608], [0.6939, 0.2885, 0.5392], [0.1939, 0.2115, 0.0392], [0.9205, 0.5044, 0.2416], [0.4205, 0.9956, 0.7416], [0.0795, 0.4956, 0.7584], [0.5795, 0.0044, 0.2584]],
  "e_form_raw_ev_per_atom": -1.368,
  "e_tot_ev_per_atom": -5.288,
  "magnetic_moment_mub_per_fu": 0.0
}


{
  "formula": "Ba2ZnSbS",
  "functional": "PBE",
  "state": "optimized geometry",
  "lattice": [[-2.0146, 0.3976, 5.7032], [-4.7266, -1.8317, -1.5419], [1.8559, -5.6739, 1.0512]],
  "species": ["S", "Sb", "Zn", "Ba", "Ba"],
  "frac_coords": [[0.0000, 0.0000, 0.0000], [0.0000, 0.5000, 0.0000], [0.5000, 0.5000, 0.5000], [0.0000, 0.0000, 0.5000], [0.5000, 0.0000, 0.0000]],
  "e_form_raw_ev_per_atom": -0.613,
  "e_tot_ev_per_atom": -3.287,
  "magnetic_moment_mub_per_fu": 0.0
}


{
  "formula": "Ba2ZnSbS5",
  "functional": "PBE",
  "state": "optimized geometry",
  "lattice": [[-3.2230, 2.0068, -1.6278], [2.9258, -5.3666, -7.1676], [-7.6495, -9.2191, 3.7800]],
  "species": ["Ba", "Ba", "Ba", "Ba", "Zn", "Zn", "Sb", "Sb", "S", "S", "S", "S", "S", "S", "S", "S", "S", "S"],
  "frac_coords": [[0.8763, 0.7525, 0.8068], [0.1086, 0.2173, 0.6887], [0.1237, 0.2475, 0.3068], [0.8914, 0.7827, 0.1887], [0.5648, 0.1295, 0.9435], [0.4352, 0.8705, 0.4435], [0.7851, 0.5702, 0.5197], [0.2149, 0.4298, 0.0197], [0.3523, 0.7046, 0.0007], [0.6972, 0.3943, 0.8803], [0.5019, 0.0038, 0.7862], [0.2809, 0.5618, 0.6578], [0.9334, 0.8668, 0.5402], [0.6477, 0.2954, 0.5007], [0.3028, 0.6057, 0.3803], [0.4981, 0.9962, 0.2862], [0.7191, 0.4382, 0.1578], [0.0666, 0.1332, 0.0402]],
  "e_form_raw_ev_per_atom": -1.143,
  "e_tot_ev_per_atom": -4.463,
  "magnetic_moment_mub_per_fu": 0.0
}


{
  "formula": "BaSc6S8",
  "functional": "PBE",
  "state": "optimized geometry",
  "lattice": [[7.1588, 0.0413, 0.0427], [-0.1820, 7.1566, 0.0427], [-0.1820, -0.1878, 7.1543]],
  "species": ["Ba", "Sc", "Sc", "Sc", "Sc", "Sc", "Sc", "S", "S", "S", "S", "S", "S", "S", "S"],
  "frac_coords": [[0.0000, 0.0000, 0.0000], [0.6014, 0.4281, 0.8056], [0.4281, 0.8056, 0.6014], [0.8056, 0.6014, 0.4281], [0.3986, 0.5719, 0.1944], [0.5719, 0.1944, 0.3986], [0.1944, 0.3986, 0.5719], [0.7446, 0.7446, 0.7446], [0.2554, 0.2554, 0.2554], [0.6105, 0.8620, 0.2845], [0.8620, 0.2845, 0.6105], [0.2845, 0.6105, 0.8620], [0.3895, 0.1380, 0.7155], [0.1380, 0.7155, 0.3895], [0.7155, 0.3895, 0.1380]],
  "e_form_raw_ev_per_atom": -1.805,
  "e_tot_ev_per_atom": -6.667,
  "magnetic_moment_mub_per_fu": 1.9
}


{
  "formula": "Ba5ScS6",
  "functional": "PBE",
  "state": "optimized geometry",
  "lattice": [[7.6048, 0.2306, 0.0000], [2.3582, 7.2749, 0.0000], [1.1791, 3.6374, 6.6061]],
  "species": ["Ba", "Ba", "Ba", "Ba", "Ba", "Sc", "S", "S", "S", "S", "S", "S"],
  "frac_coords": [[0.5000, 0.1699, 0.6603], [0.0000, 0.3341, 0.3318], [0.5000, 0.5000, 0.0000], [0.0000, 0.6659, 0.6682], [0.5000, 0.8301, 0.3397], [0.0000, 0.0000, 0.0000], [0.7750, 0.0748, 0.2956], [0.2250, 0.6295, 0.2956], [0.2274, 0.2175, 0.0000], [0.7726, 0.7825, 0.0000], [0.7750, 0.3705, 0.7044], [0.2250, 0.9252, 0.7044]],
  "e_form_raw_ev_per_atom": -1.950,
  "e_tot_ev_per_atom": -5.343,
  "magnetic_moment_mub_per_fu": 0.0
}


{
  "formula": "BaSc2S4",
  "functional": "PBE",
  "state": "optimized geometry",
  "lattice": [[-0.1622, -0.3057, 3.8835], [6.3806, -0.0253, -1.6926], [0.3291, 13.0946, 1.0446]],
  "species": ["Ba", "Ba", "Sc", "Sc", "Sc", "Sc", "S", "S", "S", "S", "S", "S", "S", "S"],
  "frac_coords": [[0.6086, 0.2171, 0.7500], [0.3914, 0.7829, 0.2500], [0.1356, 0.2713, 0.4344], [0.8644, 0.7287, 0.9344], [0.1356, 0.2713, 0.0656], [0.8644, 0.7287, 0.5656], [0.7645, 0.5290, 0.1052], [0.7645, 0.5290, 0.3948], [0.2355, 0.4710, 0.8948], [0.2355, 0.4710, 0.6052], [0.9199, 0.8397, 0.7500], [0.0801, 0.1603, 0.2500], [0.5000, 0.0000, 0.0000], [0.5000, 0.0000, 0.5000]],
  "e_form_raw_ev_per_atom": -1.964,
  "e_tot_ev_per_atom": -6.407,
  "magnetic_moment_mub_per_fu": 0.0,
  "relative_energy_ev_per_fu": 0.23
}


{
  "formula": "Ba2ScS",
  "functional": "PBE",
  "state": "optimized geometry",
  "lattice": [[11.7358, 0.0000, 0.0000], [0.0000, 11.7358, 0.0000], [5.8679, 5.8679, 2.4638]],
  "species": ["Sc", "Sc", "S", "S", "Ba", "Ba", "Ba", "Ba"],
  "frac_coords": [[0.0000, 0.0000, 0.0000], [0.7500, 0.2500, 0.5000], [0.5000, 0.5000, 0.0000], [0.2500, 0.7500, 0.5000], [0.4734, 0.1250, 0.2500], [0.2766, 0.6250, 0.2500], [0.3750, 0.5266, 0.7500], [0.8750, 0.7234, 0.7500]],
  "e_form_raw_ev_per_atom": -0.659,
  "e_tot_ev_per_atom": -4.235,
  "magnetic_moment_mub_per_fu": 1.0
}


{
  "formula": "BaScS4",
  "functional": "PBE",
  "state": "optimized geometry",
  "lattice": [[7.0871, 0.0790, -1.0009], [-0.5010, 6.1237, -3.0638], [-0.2611, 0.0322, 7.7996]],
  "species": ["Ba", "Ba", "Sc", "Sc", "S", "S", "S", "S", "S", "S", "S", "S"],
  "frac_coords": [[0.1623, 0.1914, 0.3828], [0.8377, 0.8086, 0.6172], [0.7755, 0.4369, 0.8739], [0.2245, 0.5631, 0.1261], [0.7762, 0.2650, 0.5301], [0.5364, 0.3628, 0.1451], [0.0000, 0.2391, 0.0000], [0.4636, 0.2176, 0.8549], [0.2238, 0.7350, 0.4699], [0.4636, 0.6372, 0.8549], [0.0000, 0.7609, 0.0000], [0.5364, 0.7824, 0.1451]],
  "e_form_raw_ev_per_atom": -1.327,
  "e_tot_ev_per_atom": -5.454,
  "magnetic_moment_mub_per_fu": 0.0
}


{
  "formula": "Ba3Sc2S6",
  "functional": "PBE",
  "state": "optimized geometry",
  "lattice": [[4.9659, 0.0000, 0.0000], [0.0000, 4.9659, 0.0000], [-2.4830, -2.4830, 12.5643]],
  "species": ["Ba", "Ba", "Ba", "Sc", "Sc", "S", "S", "S", "S", "S", "S"],
  "frac_coords": [[0.0000, 0.0000, 0.0000], [0.8244, 0.8244, 0.6487], [0.1756, 0.1756, 0.3513], [0.3963, 0.3963, 0.7925], [0.6037, 0.6037, 0.2075], [0.0831, 0.5831, 0.1662], [0.5831, 0.0831, 0.1662], [0.9169, 0.4169, 0.8338], [0.4169, 0.9169, 0.8338], [0.6989, 0.6989, 0.3978], [0.3011, 0.3011, 0.6022]],
  "e_form_raw_ev_per_atom": -2.020,
  "e_tot_ev_per_atom": -5.947,
  "magnetic_moment_mub_per_fu": 0.0
}


{
  "formula": "BaSc2S4",
  "functional": "PBE",
  "state": "optimized geometry",
  "lattice": [[3.8598, 0.0000, 0.0000], [0.0000, 12.0062, 0.0000], [0.0000, 0.0000, 13.9484]],
  "species": ["Ba", "Ba", "Ba", "Ba", "Sc", "Sc", "Sc", "Sc", "Sc", "Sc", "Sc", "Sc", "S", "S", "S", "S", "S", "S", "S", "S", "S", "S", "S", "S", "S", "S", "S", "S"],
  "frac_coords": [[0.2500, 0.7594, 0.3348], [0.7500, 0.2406, 0.6652], [0.2500, 0.2594, 0.1652], [0.7500, 0.7406, 0.8348], [0.7500, 0.0630, 0.8930], [0.2500, 0.9370, 0.1070], [0.7500, 0.5630, 0.6070], [0.2500, 0.4370, 0.3930], [0.2500, 0.4229, 0.9002], [0.7500, 0.5771, 0.0998], [0.2500, 0.9229, 0.5998], [0.7500, 0.0771, 0.4002], [0.7500, 0.0786, 0.0749], [0.2500, 0.9214, 0.9251], [0.7500, 0.5786, 0.4251], [0.2500, 0.4214, 0.5749], [0.7500, 0.9752, 0.7164], [0.2500, 0.0248, 0.2836], [0.7500, 0.4752, 0.7836], [0.2500, 0.5248, 0.2164], [0.7500, 0.3824, 0.0219], [0.2500, 0.6176, 0.9781], [0.7500, 0.8824, 0.4781], [0.2500, 0.1176, 0.5219], [0.2500, 0.2052, 0.8506], [0.7500, 0.7948, 0.1494], [0.2500, 0.7052, 0.6494], [0.7500, 0.2948, 0.3506]],
  "e_form_raw_ev_per_atom": -1.997,
  "e_tot_ev_per_atom": -6.439,
  "magnetic_moment_mub_per_fu": 0.0,
  "relative_energy_ev_per_fu": 0.00
}


{
  "formula": "BaSmSc4S8",
  "functional": "PBE",
  "state": "optimized geometry",
  "lattice": [[-0.8521, 3.0027, 7.2126], [-4.4313, -3.7307, 5.3113], [3.6020, -3.6761, 6.2376]],
  "species": ["Ba", "Sm", "Sc", "Sc", "Sc", "Sc", "S", "S", "S", "S", "S", "S", "S", "S"],
  "frac_coords": [[0.3674, 0.3674, 0.8977], [0.0019, 0.0019, 0.9942], [0.6258, 0.6258, 0.1225], [0.0009, 0.4955, 0.5026], [0.4955, 0.0009, 0.5026], [0.0009, 0.0009, 0.5026], [0.2424, 0.8060, 0.7092], [0.8060, 0.2424, 0.7092], [0.2424, 0.2424, 0.7092], [0.2259, 0.2259, 0.3222], [0.7491, 0.2360, 0.2659], [0.2360, 0.7491, 0.2659], [0.7491, 0.7491, 0.2659], [0.7565, 0.7565, 0.7305]],
  "e_form_raw_ev_per_atom": -1.820,
  "e_tot_ev_per_atom": -6.462,
  "magnetic_moment_mub_per_fu": 0.0
}


{
  "formula": "Ba2SmScS5",
  "functional": "PBE",
  "state": "optimized geometry",
  "lattice": [[-3.4915, 1.6117, -1.8506], [5.0725, -2.5064, -6.8322], [-5.6957, -12.0984, 0.2095]],
  "species": ["Ba", "Ba", "Ba", "Ba", "Sm", "Sm", "Sc", "Sc", "S", "S", "S", "S", "S", "S", "S", "S", "S", "S"],
  "frac_coords": [[0.8582, 0.7164, 0.8065], [0.1052, 0.2104, 0.6875], [0.1418, 0.2836, 0.3065], [0.8948, 0.7896, 0.1875], [0.7874, 0.5747, 0.5171], [0.2126, 0.4253, 0.0171], [0.5274, 0.0547, 0.9527], [0.4726, 0.9453, 0.4527], [0.3746, 0.7492, 0.9983], [0.6758, 0.3516, 0.8841], [0.4902, 0.9805, 0.7780], [0.2830, 0.5661, 0.6550], [0.9504, 0.9008, 0.5447], [0.6254, 0.2508, 0.4983], [0.3242, 0.6484, 0.3841], [0.5098, 0.0195, 0.2780], [0.7170, 0.4339, 0.1550], [0.0496, 0.0992, 0.0447]],
  "e_form_raw_ev_per_atom": -2.041,
  "e_tot_ev_per_atom": -5.989,
  "magnetic_moment_mub_per_fu": 0.0
}


{
  "formula": "BaScSn2S",
  "functional": "PBE",
  "state": "optimized geometry",
  "lattice": [[5.4153, 0.0000, 0.0000], [0.0000, 5.6682, 0.0000], [0.0000, 0.0000, 5.4153]],
  "species": ["Sc", "S", "Ba", "Sn", "Sn"],
  "frac_coords": [[0.5000, 0.5000, 0.5000], [0.0000, 0.0000, 0.0000], [0.0000, 0.5000, 0.0000], [0.0000, 0.0000, 0.5000], [0.5000, 0.0000, 0.0000]],
  "e_form_raw_ev_per_atom": -0.081,
  "e_tot_ev_per_atom": -4.159,
  "magnetic_moment_mub_per_fu": 0.9
}


{
  "formula": "BaSrSc2S",
  "functional": "PBE",
  "state": "optimized geometry",
  "lattice": [[5.0952, 0.0000, 0.0000], [0.0000, 6.2341, 0.0000], [0.0000, 0.0000, 5.0952]],
  "species": ["Sc", "Sc", "Sr", "S", "Ba"],
  "frac_coords": [[0.0000, 0.0000, 0.5000], [0.5000, 0.0000, 0.0000], [0.5000, 0.5000, 0.5000], [0.0000, 0.0000, 0.0000], [0.0000, 0.5000, 0.0000]],
  "e_form_raw_ev_per_atom": -0.464,
  "e_tot_ev_per_atom": -4.543,
  "magnetic_moment_mub_per_fu": 1.3
}


{
  "formula": "Ba2ScTe2S6",
  "functional": "PBE",
  "state": "optimized geometry",
  "lattice": [[-0.8788, 6.7019, 1.3681], [-0.0861, -4.8482, 6.3128], [6.8602, 1.5997, -3.4296]],
  "species": ["Ba", "Ba", "Sc", "Te", "Te", "S", "S", "S", "S", "S", "S"],
  "frac_coords": [[0.7363, 0.4725, 0.2328], [0.2637, 0.5275, 0.7672], [0.5000, 0.0000, 0.5000], [0.9583, 0.9165, 0.7508], [0.0417, 0.0835, 0.2492], [0.6969, 0.3939, 0.5883], [0.1722, 0.8302, 0.1928], [0.3421, 0.1698, 0.8072], [0.8278, 0.1698, 0.8072], [0.6579, 0.8302, 0.1928], [0.3031, 0.6061, 0.4117]],
  "e_form_raw_ev_per_atom": -1.065,
  "e_tot_ev_per_atom": -4.813,
  "magnetic_moment_mub_per_fu": 0.1
}